[1]
ScAg2I2 after structural relaxation. Source: the Alexandria database, functional PBE.

a = 7.8974 Å, b = 7.8974 Å, c = 4.2744 Å
α = 90.00°, β = 90.00°, γ = 90.00°
Sites, in units of the cell vectors:
Sc (0.0000, 0.0000, 0.0000)
Sc (0.5000, 0.5000, 0.0000)
Ag (0.1331, 0.3669, 0.5000)
Ag (0.3669, 0.8669, 0.5000)
Ag (0.6331, 0.1331, 0.5000)
Ag (0.8669, 0.6331, 0.5000)
I (0.1793, 0.6793, 0.0000)
I (0.3207, 0.1793, 0.0000)
I (0.6793, 0.8207, 0.0000)
I (0.8207, 0.3207, 0.0000)

As for the energy above the most stable polymorph in this dataset: 325.4 meV/atom. The formation energy from raw total energies comes out at 6.9 kJ per mole of atoms. Its energy is -2.96 eV per atom.

[2]
TeRhSeN2 after structural relaxation. Source: the Alexandria database, functional PBE.

a = 3.7199 Å, b = 3.7199 Å, c = 7.5393 Å
α = 90.00°, β = 90.00°, γ = 90.00°
Sites, in units of the cell vectors:
Te (0.0000, 0.0000, 0.0000)
Rh (0.5000, 0.5000, 0.0000)
Se (0.0000, 0.0000, 0.5000)
N (0.0000, 0.5000, 0.5000)
N (0.5000, 0.0000, 0.5000)

As for the energy above the most stable polymorph in this dataset: 568.0 meV/atom. The formation energy from raw total energies comes out at 153.7 kJ per mole of atoms. Its energy is -4.53 eV per atom.

[3]
HS2ICl after structural relaxation. Source: the Alexandria database, functional PBE.

a = 3.8784 Å, b = 3.8784 Å, c = 8.0560 Å
α = 90.00°, β = 90.00°, γ = 90.00°
Sites, in units of the cell vectors:
H (0.0000, 0.0000, 0.0000)
S (0.0000, 0.5000, 0.0000)
S (0.5000, 0.0000, 0.0000)
I (0.5000, 0.5000, 0.5000)
Cl (0.0000, 0.0000, 0.5000)

As for the energy above the most stable polymorph in this dataset: 0.0 meV/atom. Its energy is -2.33 eV per atom.